Record 1
6
Lattice="-0.9957 2.3300 4.7560 0.7620 -2.7605 4.5649 4.0799 1.2858 3.2773" Properties=species:S:1:pos:R:3 comment="CaSmIr4 | Alexandria | PBE | optimized geometry" spacegroup="F-43m (216)" pbc="T T T"
Ca 0.9615 0.2138 3.1495
Ir 2.4033 0.5344 7.8720
Ir 2.9006 -0.6292 5.4968
Ir 2.0228 1.9131 5.5922
Ir 0.3657 -0.1077 6.2353
Sm 0.0000 0.0000 0.0000

***

Record 2
7
Lattice="3.9830 -0.0009 -0.8937 -2.5043 5.8768 -1.8430 -0.1395 -0.2218 8.7088" Properties=species:S:1:pos:R:3 comment="Ca3Sm2Ir2 | Alexandria | PBE | optimized geometry" spacegroup="C2/m (12)" pbc="T T T"
Ca -1.3658 4.7604 3.2364
Ca 1.9915 -0.0005 -0.4468
Ca 2.7050 0.8936 2.7357
Ir 3.3936 0.8355 5.8089
Ir -2.0544 4.8186 0.1632
Sm 0.0608 3.0062 0.2688
Sm 1.2784 2.6479 5.7033

***

Record 3
3
Lattice="-1.5937 3.0200 0.7611 -2.8593 -1.0800 -1.7022 -0.1272 -3.6346 6.1149" Properties=species:S:1:pos:R:3 comment="CaSmIr | Alexandria | PBE | optimized geometry" polymorph_energy_kj_per_mol_atoms=5.8 spacegroup="I4mm (107)" pbc="T T T"
Sm -1.3597 -1.5393 3.2606
Ca -0.1752 -0.1983 0.4201
Ir -3.0454 0.0430 1.4932

***

Record 4
3
Lattice="4.8762 0.0000 0.0000 2.4381 4.2229 0.0000 2.4381 1.4076 3.9814" Properties=species:S:1:pos:R:3 comment="CaSmIr | Alexandria | PBE | optimized geometry" polymorph_energy_kj_per_mol_atoms=1.4 spacegroup="F-43m (216)" pbc="T T T"
Sm 4.8762 2.8153 1.9907
Ir 2.4381 1.4076 0.9953
Ca 0.0000 0.0000 0.0000

***

Formation energy
In order: -0.611 -0.451 -0.421 -0.467
Unit: eV/atom
Calculated total energy
In order: -45.83 -36.33 -16.85 -16.98
Unit: eV/f.u.